First-principles (PBE) data for a geometry-optimized Sr2CeGeO6 structure, as listed in Alexandria.

Cell: 5.8376 5.8376 5.8376 Å, 60.00 60.00 60.00°
Atoms (fractional coordinates):
Sr 0.2500 0.2500 0.2500
Sr 0.7500 0.7500 0.7500
Ce 0.0000 0.0000 0.0000
Ge 0.5000 0.5000 0.5000
O 0.2674 0.7326 0.2674
O 0.7326 0.2674 0.7326
O 0.7326 0.7326 0.2674
O 0.2674 0.2674 0.7326
O 0.2674 0.7326 0.7326
O 0.7326 0.2674 0.2674

Summary:
Energy relative to the elements, uncorrected (eV per atom): -2.684
V (Å³/f.u.): 140.7
SG: No. 225
Mass density (g cm⁻³): 5.7

---

First-principles (PBE) data for a geometry-optimized FeCu2Pb structure, as listed in Alexandria.

Cell: 8.4141 8.4141 8.4141 Å, 21.16 21.16 21.16°
Site moments in Bohr magnetons follow the coordinates.
Atoms (fractional coordinates):
Cu 0.9875 0.9875 0.9875  0.01
Cu 0.2498 0.2498 0.2498  0.09
Fe 0.5125 0.5125 0.5125  2.87
Pb 0.7502 0.7502 0.7502  0.00

Summary:
Energy relative to the elements (eV per atom): 0.545
V (Å³/f.u.): 68.0
SG: No. 160
Mass density (g cm⁻³): 9.5